Entry from the Alexandria database: Ce2YHg4 after structural relaxation (PBE).

a b c (Å): 5.4972 3.4044 11.0756
angles (deg): 98.84 90.00 90.00
Closest atoms and distances in Å follow each position.
Atoms (fractional coordinates):
Ce1 0.5000 0.0616 0.1232  1 Ce 2.70
Ce2 0.5000 0.9384 0.8768  1 Ce 2.70
Y1 0.0000 0.5000 0.0000  2 Hg 2.96
Hg1 0.5000 0.6941 0.3883  4 Hg 2.98-3.03
Hg2 0.0000 0.6354 0.2707  1 Y 2.96, 2 Hg 3.03
Hg3 0.5000 0.3059 0.6117  4 Hg 2.98-3.03
Hg4 0.0000 0.3646 0.7293  1 Y 2.96, 2 Hg 3.03

Properties
Calculated volume: 29.259 Å³ per atom
N(E_F): 10.5 states/eV per cell
Offset from the most stable computed form: 18.3 kJ per mole of atoms
Total magnetization: 1.106 μB/f.u.
DFT formation energy: -0.0430 eV/atom